Run A
First-principles (GGA-PBE) data for a relaxed Bi2BrO2 crystal, as listed in the Alexandria database.

Lattice parameters (Å, degrees): 4.1914 4.1914 6.5976 108.69 108.69 90.10
Last column: nearest neighbours and their distance in Å.
Sites, in units of the cell vectors:
O 0.7508 0.2493 0.5000  4 Bi 2.37
O 0.2492 0.7507 0.5000  4 Bi 2.37
Bi 0.3449 0.3449 0.6879  4 O 2.37
Bi 0.6551 0.6551 0.3121  4 O 2.37
Br 0.0000 0.0000 0.0000  8 Bi 3.47-3.50, 8 O 3.61-3.62

Run B
First-principles (GGA-PBE) data for a relaxed Bi2BrO2 crystal, as listed in the Alexandria database.

Lattice parameters (Å, degrees): 4.7029 4.7029 6.2373 67.85 67.85 90.00
Last column: nearest neighbours and their distance in Å.
Sites, in units of the cell vectors:
Bi 0.7500 0.2500 0.5000  4 O 2.43
Bi 0.2500 0.7500 0.5000  4 O 2.43
Br 0.0000 0.0000 0.0000  2 O 3.25, 8 Bi 3.53
O 0.6925 0.6925 0.6151  4 Bi 2.43
O 0.3075 0.3075 0.3849  4 Bi 2.43

Name the most stable of them. run A.

Run A
First-principles (GGA-PBE) data for a relaxed BiBrO crystal, as listed in the Alexandria database.

Lattice parameters (Å, degrees): 6.2424 3.8216 3.8216 120.00 90.00 90.00
Last column: nearest neighbours and their distance in Å.
Sites, in units of the cell vectors:
Bi 0.0744 0.0000 0.0000  3 O 2.32
Br 0.7378 0.6667 0.3333  3 Bi 3.05
O 0.1878 0.3333 0.6667  3 Bi 2.32

Run B
First-principles (GGA-PBE) data for a relaxed BiBrO crystal, as listed in the Alexandria database.

Lattice parameters (Å, degrees): 3.9436 3.9436 9.1713 90.00 90.00 90.00
Last column: nearest neighbours and their distance in Å.
Sites, in units of the cell vectors:
Br 0.0000 0.5000 0.3134  4 Bi 3.22, 4 O 3.49
Br 0.5000 0.0000 0.6866  4 Bi 3.22, 4 O 3.49
Bi 0.5000 0.0000 0.1383  4 O 2.34
Bi 0.0000 0.5000 0.8617  4 O 2.34
O 0.0000 0.0000 0.0000  4 Bi 2.34
O 0.5000 0.5000 0.0000  4 Bi 2.34

Name the most stable of them. run B.

Run A
First-principles (GGA-PBE) data for a relaxed BiSe2BrO crystal, as listed in the Alexandria database.

Lattice parameters (Å, degrees): 5.6614 5.6614 5.6770 90.00 90.00 90.00
Last column: nearest neighbours and their distance in Å.
Sites, in units of the cell vectors:
O 0.5000 0.5000 0.5000  4 Br 4.00, 8 Se 4.01
Br 0.0000 0.0000 0.5000  2 Bi 2.84
Bi 0.0000 0.0000 0.0000  4 Se 2.83, 2 Br 2.84
Se 0.0000 0.5000 0.0000  2 Bi 2.83
Se 0.5000 0.0000 0.0000  2 Bi 2.83

Run B
First-principles (GGA-PBE) data for a relaxed BiSe2BrO crystal, as listed in the Alexandria database.

Lattice parameters (Å, degrees): 4.3073 4.3073 5.7912 90.00 90.00 90.00
Last column: nearest neighbours and their distance in Å.
Sites, in units of the cell vectors:
O 0.0000 0.0000 0.0000  4 Se 2.15
Br 0.0000 0.0000 0.5000  2 O 2.90, 4 Bi 3.05
Se 0.5000 0.0000 0.0000  2 O 2.15
Se 0.0000 0.5000 0.0000  2 O 2.15
Bi 0.5000 0.5000 0.5000  4 Br 3.05

Name the most stable of them. run B.

Run A
First-principles (GGA-PBE) data for a relaxed Bi4Te2Br2O9 crystal, as listed in the Alexandria database.

Lattice parameters (Å, degrees): 5.5691 5.5691 9.7167 90.00 90.00 90.00
Last column: nearest neighbours and their distance in Å.
Sites, in units of the cell vectors:
Bi 0.5000 0.0000 0.5435  4 O 2.38
Bi 0.5000 0.5000 0.8105  4 O 2.29
Bi 0.0000 0.5000 0.5435  4 O 2.38
Bi 0.0000 0.0000 0.7962  4 O 2.31
Br 0.0000 0.5000 0.9915  4 Bi 3.29-3.37, 4 O 3.60
Br 0.5000 0.0000 0.9915  4 Bi 3.29-3.37, 4 O 3.60
Te 0.0000 0.0000 0.2996  1 O 1.87
Te 0.5000 0.5000 0.2498  4 O 2.02
O 0.2699 0.7301 0.3420  2 Te 2.02-2.17
O 0.0000 0.0000 0.4924  1 Te 1.87
O 0.2568 0.2568 0.6817  4 Bi 2.29-2.38
O 0.2568 0.7432 0.6817  4 Bi 2.29-2.38
O 0.7301 0.2699 0.3420  2 Te 2.02-2.17
O 0.7432 0.7432 0.6817  4 Bi 2.29-2.38
O 0.7301 0.7301 0.3420  2 Te 2.02-2.17
O 0.2699 0.2699 0.3420  2 Te 2.02-2.17
O 0.7432 0.2568 0.6817  4 Bi 2.29-2.38

Run B
First-principles (GGA-PBE) data for a relaxed Bi4Te2Br2O9 crystal, as listed in the Alexandria database.

Lattice parameters (Å, degrees): 5.6604 5.6604 10.2677 90.00 90.00 90.00
Last column: nearest neighbours and their distance in Å.
Sites, in units of the cell vectors:
Bi 0.5000 0.0000 0.5554  4 O 2.36
Bi 0.0000 0.5000 0.5554  4 O 2.36
Bi 0.5000 0.5000 0.8024  4 O 2.34
Bi 0.0000 0.0000 0.7896  4 O 2.35
O 0.7402 0.7402 0.3316  2 Te 1.97-2.10
O 0.2598 0.7402 0.3316  2 Te 1.97-2.10
O 0.2560 0.7440 0.6769  4 Bi 2.34-2.36
O 0.7402 0.2598 0.3316  2 Te 1.97-2.10
O 0.2560 0.2560 0.6769  4 Bi 2.34-2.36
O 0.7440 0.2560 0.6769  4 Bi 2.34-2.36
O 0.0000 0.0000 0.4892  1 Te 1.90
O 0.2598 0.2598 0.3316  2 Te 1.97-2.10
O 0.7440 0.7440 0.6769  4 Bi 2.34-2.36
Te 0.5000 0.5000 0.3715  4 O 1.97
Te 0.0000 0.0000 0.3041  5 O 1.90-2.10
Br 0.5000 0.0000 0.9534  4 Bi 3.23-3.29, 4 O 3.47
Br 0.0000 0.5000 0.9534  4 Bi 3.23-3.29, 4 O 3.47

Name the most stable of them. run A.